1.
# Ba3NaP6, optimized geometry, DFT PBE-GGA
data_Ba3NaP6
_chemical_formula_sum 'Ba18 Na6 P36'
_symmetry_space_group_name_H-M 'R -3 c'
_symmetry_Int_Tables_number 167
_symmetry_space_group_name_Hall '-R 3 2"c'
_cell_length_a 12.4335
_cell_length_b 12.4335
_cell_length_c 11.9858
_cell_angle_alpha 90.00
_cell_angle_beta 90.00
_cell_angle_gamma 120.00
loop_
_atom_site_label
_atom_site_fract_x
_atom_site_fract_y
_atom_site_fract_z
Ba1 0.0000 0.4427 0.2500
Na1 0.0000 0.0000 0.0000
P1 0.0836 0.2395 0.3273
# DOS at the Fermi energy: 4.01 states/eV/f.u.
# Total DFT energy (no corrections): -274.17 eV per cell
# DFT formation energy: -615 meV/atom



2.
# Ba3NaP, optimized geometry, DFT PBE-GGA
data_Ba3NaP
_chemical_formula_sum 'Ba3 Na1 P1'
_symmetry_space_group_name_H-M 'P m -3 m'
_symmetry_Int_Tables_number 221
_symmetry_space_group_name_Hall '-P 4 2 3'
_cell_length_a 6.386
_cell_length_b 6.386
_cell_length_c 6.386
_cell_angle_alpha 90.00
_cell_angle_beta 90.00
_cell_angle_gamma 90.00
loop_
_atom_site_label
_atom_site_fract_x
_atom_site_fract_y
_atom_site_fract_z
Ba1 0.000 0.000 0.500
Na1 0.500 0.500 0.500
P1 0.000 0.000 0.000
# DOS at the Fermi energy: 5.21 states/eV/f.u.
# Total DFT energy (no corrections): -14.81 eV per cell
# DFT formation energy: -463 meV/atom



3.
# BaNaP3, optimized geometry, DFT PBE-GGA
data_BaNaP3
_chemical_formula_sum 'Ba1 Na1 P3'
_symmetry_space_group_name_H-M 'P m -3 m'
_symmetry_Int_Tables_number 221
_symmetry_space_group_name_Hall '-P 4 2 3'
_cell_length_a 5.039
_cell_length_b 5.039
_cell_length_c 5.039
_cell_angle_alpha 90.00
_cell_angle_beta 90.00
_cell_angle_gamma 90.00
loop_
_atom_site_label
_atom_site_fract_x
_atom_site_fract_y
_atom_site_fract_z
Ba1 0.000 0.000 0.000
Na1 0.500 0.500 0.500
P1 0.000 0.500 0.500
# DOS at the Fermi energy: 3.33 states/eV/f.u.
# Total DFT energy (no corrections): -17.52 eV per cell
# DFT formation energy: 390 meV/atom